(1)
A plane-wave DFT calculation with PBE was carried out for a geometry-optimized Pm2Dy5Tl structure.

a b c (Å): 3.555 6.744 11.245
angles (deg): 107.45 99.10 89.99
Fractional coordinates of all 8 atoms:
Pm  0.240  0.739  0.479
Pm  0.760  0.261  0.521
Dy  0.000  0.500  0.000
Dy  0.613  0.363  0.227
Dy  0.387  0.637  0.773
Dy  0.614  0.864  0.227
Dy  0.386  0.136  0.773
Tl  0.000  0.000  0.000

---

(2)
A plane-wave DFT calculation with PBE was carried out for a geometry-optimized Pm2DyTl9 structure.

a b c (Å): 4.802 4.802 14.405
angles (deg): 90.00 90.00 90.00
Fractional coordinates of all 12 atoms:
Pm  0.000  0.000  0.332
Pm  0.000  0.000  0.668
Dy  0.000  0.000  0.000
Tl  0.500  0.500  0.000
Tl  0.500  0.500  0.333
Tl  0.500  0.500  0.667
Tl  0.500  0.000  0.164
Tl  0.500  0.000  0.500
Tl  0.500  0.000  0.836
Tl  0.000  0.500  0.164
Tl  0.000  0.500  0.500
Tl  0.000  0.500  0.836

---

(3)
A plane-wave DFT calculation with PBE was carried out for a geometry-optimized PmDy8Tl6 structure.

a b c (Å): 9.135 9.135 8.373
angles (deg): 56.94 56.94 60.00
Fractional coordinates of all 15 atoms:
Pm  0.000  0.000  0.000
Dy  0.559  0.223  0.329
Dy  0.777  0.110  0.671
Dy  0.110  0.441  0.671
Dy  0.667  0.667  0.998
Dy  0.333  0.333  0.002
Dy  0.890  0.559  0.329
Dy  0.223  0.890  0.329
Dy  0.441  0.777  0.671
Tl  0.402  0.064  0.808
Tl  0.936  0.274  0.192
Tl  0.274  0.598  0.192
Tl  0.726  0.402  0.808
Tl  0.064  0.726  0.808
Tl  0.598  0.936  0.192

---

(4)
A plane-wave DFT calculation with PBE was carried out for a geometry-optimized PmDy3Tl structure.

a b c (Å): 5.563 8.297 6.864
angles (deg): 94.88 90.59 82.33
Fractional coordinates of all 10 atoms:
Pm  0.360  0.224  0.638
Pm  0.891  0.129  0.264
Dy  0.336  0.380  0.170
Dy  0.435  0.922  0.982
Dy  0.843  0.515  0.453
Dy  0.915  0.973  0.731
Dy  0.816  0.431  0.919
Dy  0.408  0.838  0.449
Tl  0.286  0.601  0.747
Tl  0.965  0.752  0.155

---

(5)
A plane-wave DFT calculation with PBE was carried out for a geometry-optimized Pm3Dy2Tl2 structure.

a b c (Å): 4.975 3.546 12.312
angles (deg): 90.00 78.34 90.00
Site moments in Bohr magnetons follow the coordinates.
Fractional coordinates of all 7 atoms:
Pm  0.856  0.000  0.288  0.02
Pm  0.000  0.000  0.000  0.10
Pm  0.144  0.000  0.712  0.02
Dy  0.713  0.500  0.574  -0.01
Dy  0.287  0.500  0.426  -0.01
Tl  0.573  0.500  0.854  0.00
Tl  0.427  0.500  0.146  0.00

---

(6)
A plane-wave DFT calculation with PBE was carried out for a geometry-optimized Pm2DyTl2 structure.

a b c (Å): 4.482 4.989 13.279
angles (deg): 90.00 99.70 90.00
Fractional coordinates of all 10 atoms:
Pm  0.049  0.750  0.099
Pm  0.951  0.250  0.901
Pm  0.238  0.750  0.478
Pm  0.762  0.250  0.522
Dy  0.857  0.750  0.713
Dy  0.143  0.250  0.287
Tl  0.650  0.750  0.300
Tl  0.350  0.250  0.700
Tl  0.452  0.750  0.904
Tl  0.548  0.250  0.096

---

| no. | calculated total energy (eV per atom) | E_form (eV/atom) |
| --- | --- | --- |
| 1 | -4.35 | 0.010 |
| 2 | -3.23 | -0.283 |
| 3 | -3.85 | -0.134 |
| 4 | -4.25 | -0.066 |
| 5 | -4.13 | -0.103 |
| 6 | -4.05 | -0.285 |